(1)
A relaxed KP2Pb crystal. Source: the Alexandria database, functional GGA-PBE.

The structure in POSCAR format:
```
KP2Pb
1.0
11.7469 0.0000 0.0000
0.0000 3.3300 0.0000
-2.7151 0.0000 6.2903
K P Pb
2 4 2
direct
0.0000 0.0000 0.0000 K
0.5000 0.5000 0.0000 K
0.2300 0.5000 0.3849 P
0.2700 0.0000 0.6151 P
0.7300 0.0000 0.3849 P
0.7700 0.5000 0.6151 P
0.0000 0.5000 0.5000 Pb
0.5000 0.0000 0.5000 Pb
```

Properties
formation energy	-66	meV/atom
total energy	-3.97	eV/atom
ρ	4.16	g cm⁻³
total magnetic moment	0.0000	μB/atom
DOS at the Fermi energy	2.89	states/eV/cell
SG	C2/m

***

(2)
A relaxed KP2Pb crystal. Source: the Alexandria database, functional GGA-PBE.

The structure in POSCAR format:
```
KP2Pb
1.0
7.2819 0.0000 0.0000
0.0000 7.2819 0.0000
0.0000 0.0000 7.2819
K P Pb
4 8 4
direct
0.0000 0.0000 0.0000 K
0.0000 0.5000 0.5000 K
0.5000 0.0000 0.5000 K
0.5000 0.5000 0.0000 K
0.0000 0.0000 0.5000 P
0.0000 0.5000 0.0000 P
0.2500 0.2500 0.7500 P
0.2500 0.7500 0.2500 P
0.5000 0.0000 0.0000 P
0.5000 0.5000 0.5000 P
0.7500 0.2500 0.2500 P
0.7500 0.7500 0.7500 P
0.2500 0.2500 0.2500 Pb
0.2500 0.7500 0.7500 Pb
0.7500 0.2500 0.7500 Pb
0.7500 0.7500 0.2500 Pb
```

Properties
formation energy	527	meV/atom
total energy	-3.38	eV/atom
ρ	5.30	g cm⁻³
total magnetic moment	0.0000	μB/atom
DOS at the Fermi energy	11.90	states/eV/cell
SG	F-43m

***

(3)
A relaxed KPPb2 crystal. Source: the Alexandria database, functional GGA-PBE.

The structure in POSCAR format:
```
KPPb2
1.0
10.9392 0.0000 0.0000
0.0000 3.9507 0.0000
-2.5545 0.0000 6.2592
K P Pb
2 2 4
direct
0.0000 0.0000 0.0000 K
0.5000 0.5000 0.0000 K
0.1862 0.5000 0.3731 P
0.6862 0.0000 0.3731 P
0.1981 0.0000 0.6643 Pb
0.4049 0.0000 0.4235 Pb
0.6981 0.5000 0.6643 Pb
0.9049 0.5000 0.4235 Pb
```

Properties
formation energy	-73	meV/atom
total energy	-3.55	eV/atom
ρ	5.95	g cm⁻³
total magnetic moment	0.0000	μB/atom
DOS at the Fermi energy	1.68	states/eV/cell
SG	Cm

***

(4)
A relaxed KP2Pb crystal. Source: the Alexandria database, functional GGA-PBE.

The structure in POSCAR format:
```
KP2Pb
1.0
6.6528 0.0000 0.0000
0.0000 8.9733 0.0000
0.0000 0.0000 3.2131
K P Pb
2 4 2
direct
0.0000 0.0000 0.0000 K
0.5000 0.5000 0.0000 K
0.2500 0.2500 0.5000 P
0.2500 0.7500 0.5000 P
0.7500 0.2500 0.5000 P
0.7500 0.7500 0.5000 P
0.0000 0.5000 0.0000 Pb
0.5000 0.0000 0.0000 Pb
```

Properties
formation energy	329	meV/atom
total energy	-3.58	eV/atom
ρ	5.34	g cm⁻³
total magnetic moment	0.0000	μB/atom
DOS at the Fermi energy	3.88	states/eV/cell
SG	Cmmm

***

(5)
A relaxed KP2Pb crystal. Source: the Alexandria database, functional GGA-PBE.

The structure in POSCAR format:
```
KP2Pb
1.0
4.6685 0.0000 0.0000
0.0000 4.6685 0.0000
0.0000 0.0000 4.3414
K P Pb
1 2 1
direct
0.0000 0.0000 0.0000 K
0.0000 0.5000 0.5000 P
0.5000 0.0000 0.5000 P
0.5000 0.5000 0.0000 Pb
```

Properties
formation energy	323	meV/atom
total energy	-3.58	eV/atom
ρ	5.41	g cm⁻³
total magnetic moment	0.0000	μB/atom
DOS at the Fermi energy	1.58	states/eV/cell
SG	P4/mmm

***

(6)
A relaxed KP2Pb2 crystal. Source: the Alexandria database, functional GGA-PBE.

The structure in POSCAR format:
```
KP2Pb2
1.0
4.6898 0.0000 0.0000
0.0000 4.6898 0.0000
0.0000 0.0000 12.8390
K P Pb
2 4 4
direct
0.0000 0.0000 0.0000 K
0.5000 0.5000 0.5000 K
0.0000 0.0000 0.4181 P
0.0000 0.0000 0.5819 P
0.5000 0.5000 0.0819 P
0.5000 0.5000 0.9181 P
0.0000 0.5000 0.2500 Pb
0.0000 0.5000 0.7500 Pb
0.5000 0.0000 0.2500 Pb
0.5000 0.0000 0.7500 Pb
```

Properties
formation energy	-67	meV/atom
total energy	-3.93	eV/atom
ρ	6.06	g cm⁻³
total magnetic moment	0.0000	μB/atom
DOS at the Fermi energy	2.45	states/eV/cell
SG	I4/mmm

***

(7)
A relaxed K2PPb2 crystal. Source: the Alexandria database, functional GGA-PBE.

The structure in POSCAR format:
```
K2PPb2
1.0
7.6424 0.0000 0.0000
0.0000 7.6424 0.0000
0.0000 0.0000 5.8837
K P Pb
4 2 4
direct
0.1763 0.3237 0.0000 K
0.3237 0.8237 0.0000 K
0.6763 0.1763 0.0000 K
0.8237 0.6763 0.0000 K
0.0000 0.0000 0.5000 P
0.5000 0.5000 0.5000 P
0.1469 0.6469 0.5000 Pb
0.3531 0.1469 0.5000 Pb
0.6469 0.8531 0.5000 Pb
0.8531 0.3531 0.5000 Pb
```

Properties
formation energy	-9	meV/atom
total energy	-3.01	eV/atom
ρ	5.06	g cm⁻³
total magnetic moment	0.0000	μB/atom
DOS at the Fermi energy	4.92	states/eV/cell
SG	P4/mbm

***

(8)
A relaxed KPPb2 crystal. Source: the Alexandria database, functional GGA-PBE.

The structure in POSCAR format:
```
KPPb2
1.0
6.7337 0.0000 0.0000
0.0000 11.5833 0.0000
-1.7250 0.0000 2.9508
K P Pb
2 2 4
direct
0.0000 0.0000 0.0000 K
0.5000 0.5000 0.0000 K
0.0000 0.5000 0.0000 P
0.5000 0.0000 0.0000 P
0.2500 0.2500 0.0000 Pb
0.2500 0.7500 0.0000 Pb
0.7500 0.2500 0.0000 Pb
0.7500 0.7500 0.0000 Pb
```

Properties
formation energy	191	meV/atom
total energy	-3.29	eV/atom
ρ	6.99	g cm⁻³
total magnetic moment	0.0000	μB/atom
DOS at the Fermi energy	4.08	states/eV/cell
SG	C2/m

***

(9)
A relaxed KPPb2 crystal. Source: the Alexandria database, functional GGA-PBE.

The structure in POSCAR format:
```
KPPb2
1.0
7.7168 0.0000 0.0000
0.0000 7.7168 0.0000
0.0000 0.0000 7.7168
K P Pb
4 4 8
direct
0.0000 0.0000 0.0000 K
0.0000 0.5000 0.5000 K
0.5000 0.0000 0.5000 K
0.5000 0.5000 0.0000 K
0.2500 0.2500 0.7500 P
0.2500 0.7500 0.2500 P
0.7500 0.2500 0.2500 P
0.7500 0.7500 0.7500 P
0.0000 0.0000 0.5000 Pb
0.0000 0.5000 0.0000 Pb
0.2500 0.2500 0.2500 Pb
0.2500 0.7500 0.7500 Pb
0.5000 0.0000 0.0000 Pb
0.5000 0.5000 0.5000 Pb
0.7500 0.2500 0.7500 Pb
0.7500 0.7500 0.2500 Pb
```

Properties
formation energy	216	meV/atom
total energy	-3.27	eV/atom
ρ	7.00	g cm⁻³
total magnetic moment	0.0000	μB/atom
DOS at the Fermi energy	11.10	states/eV/cell
SG	F-43m

***

(10)
A relaxed KP2Pb crystal. Source: the Alexandria database, functional GGA-PBE.

The structure in POSCAR format:
```
KP2Pb
1.0
7.8170 0.0000 0.0000
0.0000 7.8170 0.0000
0.0000 0.0000 7.8629
K P Pb
4 8 4
direct
0.0000 0.0000 0.0000 K
0.0000 0.5000 0.2500 K
0.5000 0.0000 0.7500 K
0.5000 0.5000 0.5000 K
0.1865 0.7500 0.6250 P
0.2500 0.1865 0.3750 P
0.2500 0.3135 0.8750 P
0.3135 0.7500 0.1250 P
0.6865 0.2500 0.1250 P
0.7500 0.6865 0.8750 P
0.7500 0.8135 0.3750 P
0.8135 0.2500 0.6250 P
0.0000 0.0000 0.5000 Pb
0.0000 0.5000 0.7500 Pb
0.5000 0.0000 0.2500 Pb
0.5000 0.5000 0.0000 Pb
```

Properties
formation energy	222	meV/atom
total energy	-3.68	eV/atom
ρ	4.26	g cm⁻³
total magnetic moment	0.1957	μB/atom
DOS at the Fermi energy	6.81	states/eV/cell
SG	I-42d

***

(11)
A relaxed KPPb3 crystal. Source: the Alexandria database, functional GGA-PBE.

The structure in POSCAR format:
```
KPPb3
1.0
5.8880 0.0000 0.0000
0.0000 5.8880 0.0000
0.0000 0.0000 5.8880
K P Pb
1 1 3
direct
0.0000 0.0000 0.0000 K
0.5000 0.5000 0.5000 P
0.0000 0.0000 0.5000 Pb
0.0000 0.5000 0.0000 Pb
0.5000 0.0000 0.0000 Pb
```

Properties
formation energy	1385	meV/atom
E above lowest polymorph	573	kJ/mol of formula units
total energy	-2.14	eV/atom
ρ	5.63	g cm⁻³
total magnetic moment	0.0000	μB/atom
DOS at the Fermi energy	4.72	states/eV/cell
SG	Pm-3m

***

(12)
A relaxed KP2Pb crystal. Source: the Alexandria database, functional GGA-PBE.

The structure in POSCAR format:
```
KP2Pb
1.0
3.4549 0.0000 0.0000
0.0000 3.4549 0.0000
0.0000 0.0000 8.3470
K P Pb
1 2 1
direct
0.0000 0.0000 0.0000 K
0.0000 0.0000 0.3688 P
0.5000 0.5000 0.2965 P
0.5000 0.5000 0.6388 Pb
```

Properties
formation energy	128	meV/atom
total energy	-3.78	eV/atom
ρ	5.14	g cm⁻³
total magnetic moment	0.0000	μB/atom
DOS at the Fermi energy	1.51	states/eV/cell
SG	P4mm

***

(13)
A relaxed KPPb2 crystal. Source: the Alexandria database, functional GGA-PBE.

The structure in POSCAR format:
```
KPPb2
1.0
3.9069 0.0000 0.0000
0.0000 3.9069 0.0000
0.0000 0.0000 7.9870
K P Pb
1 1 2
direct
0.0000 0.0000 0.0000 K
0.0000 0.0000 0.5000 P
0.5000 0.5000 0.3170 Pb
0.5000 0.5000 0.6830 Pb
```

Properties
formation energy	74	meV/atom
total energy	-3.41	eV/atom
ρ	6.60	g cm⁻³
total magnetic moment	0.0001	μB/atom
DOS at the Fermi energy	2.26	states/eV/cell
SG	P4/mmm